[1]
This record from Alexandria describes a geometry-optimized Li2MoRh structure. The functional is PBE-GGA.

Results
For the distance to the lowest polymorph of the same formula, the calculation gives 0.62 eV/f.u. For the formation energy from the elements, the calculation gives 76 kJ/mol of formula units. The crystal system is orthorhombic.

Cell: 4.938 8.957 2.621 Å, 90.00 90.00 90.00°
Space group Cmmm (No. 65)
Inequivalent atoms, fractional coordinates:
Li1 0.250 0.250 0.000 [4 per cell]
Mo1 0.000 0.000 0.500 [2 per cell]
Rh1 0.000 0.500 0.500 [2 per cell]



[2]
This record from Alexandria describes a geometry-optimized Cs2Ga2H structure. The functional is PBE-GGA.

Results
The crystal system is tetragonal.

Cell: 3.881 3.881 21.160 Å, 90.00 90.00 90.00°
Space group I4/mmm (No. 139)
Inequivalent atoms, fractional coordinates:
Cs1 0.000 0.000 0.089 [4 per cell]
Ga1 0.000 0.500 0.250 [4 per cell]
H1 0.000 0.000 0.500 [2 per cell]



[3]
This record from Alexandria describes a geometry-optimized AlGa2Bi2 structure. The functional is PBE-GGA.

Results
For the distance to the lowest polymorph of the same formula, the calculation gives 0.00 eV/f.u. For the formation energy from the elements, the calculation gives 106 kJ/mol of formula units. The crystal system is tetragonal.

Cell: 8.011 8.011 3.916 Å, 90.00 90.00 90.00°
Space group P4/mbm (No. 127)
Inequivalent atoms, fractional coordinates:
Al1 0.000 0.000 0.000 [2 per cell]
Ga1 0.130 0.370 0.000 [4 per cell]
Bi1 0.166 0.666 0.500 [4 per cell]



[4]
This record from Alexandria describes a geometry-optimized ZrW2Cl structure. The functional is PBE-GGA.

Results
Its uncorrected formation energy is 818.6 meV/atom. For the distance to the lowest polymorph of the same formula, the calculation gives 3.40 eV/f.u. The crystal system is tetragonal.

Cell: 4.471 4.471 7.144 Å, 90.00 90.00 90.00°
Space group I-4m2 (No. 119)
Inequivalent atoms, fractional coordinates:
Zr1 0.000 0.000 0.000 [2 per cell]
W1 0.000 0.000 0.500 [2 per cell]
W2 0.000 0.500 0.250 [2 per cell]
Cl1 0.000 0.500 0.750 [2 per cell]



[5]
This record from Alexandria describes a geometry-optimized DyNpC structure. The functional is PBE-GGA.

Results
For the distance to the lowest polymorph of the same formula, the calculation gives 0.00 eV/f.u. For the formation energy from the elements, the calculation gives 24 kJ/mol of formula units. The crystal system is trigonal.

Cell: 3.4070 3.4070 6.2530 Å, 90.00 90.00 120.00°
Space group P3m1 (No. 156)
Inequivalent atoms, fractional coordinates:
Dy1 0.0000 0.0000 0.0000 [1 per cell]
Np1 0.3333 0.6667 0.4573 [1 per cell]
C1 0.6667 0.3333 0.2395 [1 per cell]



[6]
This record from Alexandria describes a geometry-optimized CsTlAgBr4 structure. The functional is PBE-GGA.

Results
Its uncorrected formation energy is -850.8 meV/atom. The crystal system is orthorhombic.

Cell: 7.684 17.303 7.735 Å, 90.00 90.00 90.00°
Space group Cmcm (No. 63)
Inequivalent atoms, fractional coordinates:
Cs1 0.000 0.105 0.250 [4 per cell]
Tl1 0.000 0.382 0.250 [4 per cell]
Ag1 0.000 0.254 0.750 [4 per cell]
Br1 0.000 0.097 0.750 [4 per cell]
Br2 0.000 0.413 0.750 [4 per cell]
Br3 0.250 0.250 0.000 [8 per cell]



Summary of ρ in g/cm3
6.1; 4.2; 7.7; 11.5; 10.9; 4.9
(order as listed above)
Summary of total DFT energy (no corrections) in eV for the cell shown
-42.45; -22.33; -32.91; -66.05; -26.52; -74.87
(order as listed above)